# 1
A plane-wave DFT calculation with PBE was carried out for an optimized crystal structure of Sm5Cu2.

Lattice parameters (Å, degrees): 9.084 9.084 6.971 95.01 95.01 43.26
Element x y z (fractional)
1 Sm 0.059 0.941 0.750
2 Sm 0.153 0.285 0.293
3 Sm 0.285 0.153 0.793
4 Sm 0.297 0.514 0.058
5 Sm 0.486 0.703 0.442
6 Sm 0.514 0.297 0.558
7 Sm 0.703 0.486 0.942
8 Sm 0.715 0.847 0.207
9 Sm 0.847 0.715 0.707
10 Sm 0.941 0.059 0.250
11 Cu 0.092 0.689 0.439
12 Cu 0.311 0.908 0.061
13 Cu 0.689 0.092 0.939
14 Cu 0.908 0.311 0.561

Spin magnetization: 0.000 μB/atom
VASP energy: -0.16972 hartree per atom
DOS(E_F): 14.659 states/eV/cell
Formation energy from the elements: -0.08 eV/atom
Symmetry: C2/c

# 2
A plane-wave DFT calculation with PBE was carried out for an optimized crystal structure of Sm3Cu.

Lattice parameters (Å, degrees): 6.485 6.485 6.485 146.61 60.58 131.01
Element x y z (fractional)
1 Sm 0.000 0.000 0.000
2 Sm 0.294 0.501 0.793
3 Sm 0.709 0.501 0.207
4 Cu 0.493 0.993 0.500

Distance to the lowest polymorph of the same formula: 0.20 eV per formula unit
Spin magnetization: 0.000 μB/atom
VASP energy: -0.16869 hartree per atom
DOS(E_F): 5.317 states/eV/cell
Formation energy from the elements: -0.03 eV/atom
Symmetry: Imm2

# 3
A plane-wave DFT calculation with PBE was carried out for an optimized crystal structure of Sm3Cu.

Lattice parameters (Å, degrees): 6.407 6.407 7.674 90.00 90.00 134.26
Element x y z (fractional)
1 Sm 0.046 0.954 0.750
2 Sm 0.353 0.647 0.530
3 Sm 0.353 0.647 0.970
4 Sm 0.647 0.353 0.030
5 Sm 0.647 0.353 0.470
6 Sm 0.954 0.046 0.250
7 Cu 0.201 0.799 0.250
8 Cu 0.799 0.201 0.750

Distance to the lowest polymorph of the same formula: 0.12 eV per formula unit
Spin magnetization: 0.000 μB/atom
VASP energy: -0.16938 hartree per atom
DOS(E_F): 9.520 states/eV/cell
Formation energy from the elements: -0.05 eV/atom
Symmetry: Cmcm

# 4
A plane-wave DFT calculation with PBE was carried out for an optimized crystal structure of Sm2Cu7.

Lattice parameters (Å, degrees): 12.834 12.834 12.834 23.28 23.28 23.28
Element x y z (fractional)
1 Sm 0.051 0.051 0.051
2 Sm 0.148 0.148 0.148
3 Sm 0.852 0.852 0.852
4 Sm 0.949 0.949 0.949
5 Cu 0.000 0.500 0.500
6 Cu 0.109 0.609 0.609
7 Cu 0.278 0.278 0.278
8 Cu 0.388 0.388 0.388
9 Cu 0.391 0.391 0.891
10 Cu 0.391 0.891 0.391
11 Cu 0.500 0.000 0.500
12 Cu 0.500 0.500 0.000
13 Cu 0.500 0.500 0.500
14 Cu 0.609 0.109 0.609
15 Cu 0.609 0.609 0.109
16 Cu 0.612 0.612 0.612
17 Cu 0.722 0.722 0.722
18 Cu 0.891 0.391 0.391

Spin magnetization: 0.000 μB/atom
VASP energy: -0.16159 hartree per atom
DOS(E_F): 14.426 states/eV/cell
Formation energy from the elements: -0.16 eV/atom
Symmetry: R-3m

# 5
A plane-wave DFT calculation with PBE was carried out for an optimized crystal structure of Sm3Cu2Sn4.

Lattice parameters (Å, degrees): 6.161 6.161 8.772 104.91 104.91 43.29
Element x y z (fractional)
1 Sm 0.000 0.000 0.000
2 Sm 0.370 0.370 0.310
3 Sm 0.630 0.630 0.690
4 Cu 0.302 0.302 0.616
5 Cu 0.698 0.698 0.384
6 Sn 0.081 0.081 0.387
7 Sn 0.295 0.295 0.918
8 Sn 0.705 0.705 0.082
9 Sn 0.919 0.919 0.613

Spin magnetization: 0.000 μB/atom
VASP energy: -0.17840 hartree per atom
DOS(E_F): 2.612 states/eV/cell
Formation energy from the elements: -0.59 eV/atom
Symmetry: C2/m

# 6
A plane-wave DFT calculation with PBE was carried out for an optimized crystal structure of Sm3CuSn3.

Lattice parameters (Å, degrees): 6.154 6.154 15.079 108.29 108.29 43.49
Element x y z (fractional)
1 Sm 0.031 0.031 0.384
2 Sm 0.096 0.096 0.920
3 Sm 0.241 0.241 0.230
4 Sm 0.759 0.759 0.770
5 Sm 0.904 0.904 0.080
6 Sm 0.969 0.969 0.616
7 Cu 0.265 0.265 0.608
8 Cu 0.735 0.735 0.392
9 Sn 0.354 0.354 0.454
10 Sn 0.371 0.371 0.924
11 Sn 0.471 0.471 0.763
12 Sn 0.529 0.529 0.237
13 Sn 0.629 0.629 0.076
14 Sn 0.646 0.646 0.546

Spin magnetization: 0.000 μB/atom
VASP energy: -0.18367 hartree per atom
DOS(E_F): 7.783 states/eV/cell
Formation energy from the elements: -0.67 eV/atom
Symmetry: C2/m

# 7
A plane-wave DFT calculation with PBE was carried out for an optimized crystal structure of Sm6CuSn2.

Lattice parameters (Å, degrees): 8.790 8.790 3.887 90.00 90.00 120.00
Element x y z (fractional)
1 Sm 0.000 0.251 0.000
2 Sm 0.000 0.597 0.500
3 Sm 0.251 0.000 0.000
4 Sm 0.403 0.403 0.500
5 Sm 0.597 0.000 0.500
6 Sm 0.749 0.749 0.000
7 Cu 0.000 0.000 0.500
8 Sn 0.333 0.667 0.000
9 Sn 0.667 0.333 0.000

Spin magnetization: 0.000 μB/atom
VASP energy: -0.17975 hartree per atom
DOS(E_F): 10.173 states/eV/cell
Formation energy from the elements: -0.40 eV/atom
Symmetry: P-62m

# 8
A plane-wave DFT calculation with PBE was carried out for an optimized crystal structure of SmCu9Sn2.

Lattice parameters (Å, degrees): 8.663 8.663 8.663 34.31 34.31 34.31
Element x y z (fractional)
1 Sm 0.000 0.000 0.000
2 Cu 0.081 0.585 0.585
3 Cu 0.334 0.334 0.334
4 Cu 0.415 0.415 0.919
5 Cu 0.415 0.919 0.415
6 Cu 0.500 0.500 0.500
7 Cu 0.585 0.081 0.585
8 Cu 0.585 0.585 0.081
9 Cu 0.666 0.666 0.666
10 Cu 0.919 0.415 0.415
11 Sn 0.140 0.140 0.140
12 Sn 0.860 0.860 0.860

Distance to the lowest polymorph of the same formula: 0.56 eV per formula unit
Spin magnetization: 0.000 μB/atom
VASP energy: -0.15595 hartree per atom
DOS(E_F): 6.508 states/eV/cell
Formation energy from the elements: -0.11 eV/atom
Symmetry: R-3m

# 9
A plane-wave DFT calculation with PBE was carried out for an optimized crystal structure of SmCu6Sn12.

Lattice parameters (Å, degrees): 8.264 8.264 8.264 109.47 109.47 109.47
Element x y z (fractional)
1 Sm 0.000 0.000 0.000
2 Cu 0.129 0.629 0.500
3 Cu 0.371 0.500 0.871
4 Cu 0.500 0.129 0.629
5 Cu 0.500 0.871 0.371
6 Cu 0.629 0.500 0.129
7 Cu 0.871 0.371 0.500
8 Sn 0.116 0.819 0.297
9 Sn 0.181 0.297 0.477
10 Sn 0.181 0.703 0.884
11 Sn 0.297 0.116 0.819
12 Sn 0.297 0.477 0.181
13 Sn 0.477 0.181 0.297
14 Sn 0.523 0.819 0.703
15 Sn 0.703 0.523 0.819
16 Sn 0.703 0.884 0.181
17 Sn 0.819 0.297 0.116
18 Sn 0.819 0.703 0.523
19 Sn 0.884 0.181 0.703

Spin magnetization: 0.000 μB/atom
VASP energy: -0.14897 hartree per atom
DOS(E_F): 8.721 states/eV/cell
Formation energy from the elements: 0.02 eV/atom
Symmetry: Im-3

# 10
A plane-wave DFT calculation with PBE was carried out for an optimized crystal structure of Sm12Cu6Sn.

Lattice parameters (Å, degrees): 8.738 8.738 8.738 109.47 109.47 109.47
Element x y z (fractional)
1 Sm 0.112 0.300 0.812
2 Sm 0.188 0.487 0.300
3 Sm 0.188 0.888 0.700
4 Sm 0.300 0.188 0.487
5 Sm 0.300 0.812 0.112
6 Sm 0.487 0.300 0.188
7 Sm 0.513 0.700 0.812
8 Sm 0.700 0.188 0.888
9 Sm 0.700 0.812 0.513
10 Sm 0.812 0.112 0.300
11 Sm 0.812 0.513 0.700
12 Sm 0.888 0.700 0.188
13 Cu 0.122 0.500 0.622
14 Cu 0.378 0.878 0.500
15 Cu 0.500 0.378 0.878
16 Cu 0.500 0.622 0.122
17 Cu 0.622 0.122 0.500
18 Cu 0.878 0.500 0.378
19 Sn 0.000 0.000 0.000

Spin magnetization: 0.000 μB/atom
VASP energy: -0.17152 hartree per atom
DOS(E_F): 19.909 states/eV/cell
Formation energy from the elements: -0.18 eV/atom
Symmetry: Im-3

# 11
A plane-wave DFT calculation with PBE was carried out for an optimized crystal structure of Sm8CuSn2.

Lattice parameters (Å, degrees): 10.082 10.082 6.841 104.40 104.40 29.25
Element x y z (fractional)
1 Sm 0.016 0.016 0.284
2 Sm 0.215 0.215 0.816
3 Sm 0.351 0.351 0.503
4 Sm 0.408 0.408 0.027
5 Sm 0.592 0.592 0.973
6 Sm 0.649 0.649 0.497
7 Sm 0.785 0.785 0.184
8 Sm 0.984 0.984 0.716
9 Cu 0.500 0.500 0.500
10 Sn 0.181 0.181 0.254
11 Sn 0.819 0.819 0.746

Spin magnetization: 0.000 μB/atom
VASP energy: -0.17778 hartree per atom
DOS(E_F): 9.537 states/eV/cell
Formation energy from the elements: -0.31 eV/atom
Symmetry: C2/m

# 12
A plane-wave DFT calculation with PBE was carried out for an optimized crystal structure of SmCu8Sn3.

Lattice parameters (Å, degrees): 5.194 5.194 8.387 90.00 90.00 120.00
Element x y z (fractional)
1 Sm 0.000 0.000 0.000
2 Cu 0.000 0.500 0.189
3 Cu 0.166 0.331 0.677
4 Cu 0.166 0.834 0.677
5 Cu 0.333 0.667 0.435
6 Cu 0.333 0.667 0.930
7 Cu 0.500 0.000 0.189
8 Cu 0.500 0.500 0.189
9 Cu 0.669 0.834 0.677
10 Sn 0.000 0.000 0.378
11 Sn 0.667 0.333 0.485
12 Sn 0.667 0.333 0.861

Spin magnetization: 0.000 μB/atom
VASP energy: -0.15435 hartree per atom
DOS(E_F): 3.277 states/eV/cell
Formation energy from the elements: -0.08 eV/atom
Symmetry: P3m1

# 13
A plane-wave DFT calculation with PBE was carried out for an optimized crystal structure of Sm3Cu4Sn4.

Lattice parameters (Å, degrees): 8.570 8.570 4.543 105.32 105.32 48.25
Element x y z (fractional)
1 Sm 0.000 0.000 0.000
2 Sm 0.368 0.368 0.868
3 Sm 0.632 0.632 0.132
4 Cu 0.016 0.647 0.331
5 Cu 0.353 0.984 0.669
6 Cu 0.647 0.016 0.331
7 Cu 0.984 0.353 0.669
8 Sn 0.217 0.217 0.217
9 Sn 0.298 0.702 0.500
10 Sn 0.702 0.298 0.500
11 Sn 0.783 0.783 0.783

Spin magnetization: 0.000 μB/atom
VASP energy: -0.17514 hartree per atom
DOS(E_F): 2.505 states/eV/cell
Formation energy from the elements: -0.53 eV/atom
Symmetry: C2/m

# 14
A plane-wave DFT calculation with PBE was carried out for an optimized crystal structure of SmCuSn3.

Lattice parameters (Å, degrees): 12.649 6.238 6.147 90.00 90.00 90.00
Element x y z (fractional)
1 Sm 0.198 0.004 0.250
2 Sm 0.198 0.496 0.750
3 Sm 0.802 0.504 0.250
4 Sm 0.802 0.996 0.750
5 Cu 0.386 0.250 0.000
6 Cu 0.386 0.250 0.500
7 Cu 0.614 0.750 0.000
8 Cu 0.614 0.750 0.500
9 Sn 0.001 0.250 0.000
10 Sn 0.001 0.250 0.500
11 Sn 0.266 0.515 0.250
12 Sn 0.266 0.985 0.750
13 Sn 0.446 0.605 0.750
14 Sn 0.446 0.895 0.250
15 Sn 0.554 0.105 0.750
16 Sn 0.554 0.395 0.250
17 Sn 0.734 0.015 0.250
18 Sn 0.734 0.485 0.750
19 Sn 0.999 0.750 0.000
20 Sn 0.999 0.750 0.500

Spin magnetization: 0.000 μB/atom
VASP energy: -0.16595 hartree per atom
DOS(E_F): 13.021 states/eV/cell
Formation energy from the elements: -0.35 eV/atom
Symmetry: Pbcm

# 15
A plane-wave DFT calculation with PBE was carried out for an optimized crystal structure of Sm2Cu2Sn3.

Lattice parameters (Å, degrees): 10.073 10.073 7.145 90.00 90.00 153.56
Element x y z (fractional)
1 Sm 0.042 0.958 0.750
2 Sm 0.161 0.839 0.250
3 Sm 0.839 0.161 0.750
4 Sm 0.958 0.042 0.250
5 Cu 0.299 0.701 0.058
6 Cu 0.299 0.701 0.442
7 Cu 0.701 0.299 0.558
8 Cu 0.701 0.299 0.942
9 Sn 0.215 0.785 0.750
10 Sn 0.428 0.572 0.547
11 Sn 0.428 0.572 0.953
12 Sn 0.572 0.428 0.047
13 Sn 0.572 0.428 0.453
14 Sn 0.785 0.215 0.250

Spin magnetization: 0.000 μB/atom
VASP energy: -0.17481 hartree per atom
DOS(E_F): 3.631 states/eV/cell
Formation energy from the elements: -0.52 eV/atom
Symmetry: Cmcm

# 16
A plane-wave DFT calculation with PBE was carried out for an optimized crystal structure of SmCu9Sn2.

Lattice parameters (Å, degrees): 8.515 8.515 5.010 90.00 90.00 90.00
Element x y z (fractional)
1 Sm 0.000 0.000 0.000
2 Sm 0.500 0.500 0.000
3 Cu 0.000 0.500 0.500
4 Cu 0.066 0.204 0.500
5 Cu 0.172 0.672 0.246
6 Cu 0.172 0.672 0.754
7 Cu 0.204 0.934 0.500
8 Cu 0.296 0.434 0.500
9 Cu 0.328 0.172 0.246
10 Cu 0.328 0.172 0.754
11 Cu 0.434 0.704 0.500
12 Cu 0.500 0.000 0.500
13 Cu 0.566 0.296 0.500
14 Cu 0.672 0.828 0.246
15 Cu 0.672 0.828 0.754
16 Cu 0.704 0.566 0.500
17 Cu 0.796 0.066 0.500
18 Cu 0.828 0.328 0.246
19 Cu 0.828 0.328 0.754
20 Cu 0.934 0.796 0.500
21 Sn 0.130 0.370 0.000
22 Sn 0.370 0.870 0.000
23 Sn 0.630 0.130 0.000
24 Sn 0.870 0.630 0.000

Distance to the lowest polymorph of the same formula: 0.00 eV per formula unit
Spin magnetization: 0.000 μB/atom
VASP energy: -0.15765 hartree per atom
DOS(E_F): 7.550 states/eV/cell
Formation energy from the elements: -0.16 eV/atom
Symmetry: P4/mbm

# 17
A plane-wave DFT calculation with PBE was carried out for an optimized crystal structure of Sm4Cu2Sn.

Lattice parameters (Å, degrees): 9.613 9.613 9.613 29.89 29.89 29.89
Element x y z (fractional)
1 Sm 0.117 0.117 0.117
2 Sm 0.297 0.297 0.297
3 Sm 0.703 0.703 0.703
4 Sm 0.883 0.883 0.883
5 Cu 0.401 0.401 0.401
6 Cu 0.599 0.599 0.599
7 Sn 0.500 0.500 0.500

Spin magnetization: 0.000 μB/atom
VASP energy: -0.16898 hartree per atom
DOS(E_F): 8.113 states/eV/cell
Formation energy from the elements: -0.16 eV/atom
Symmetry: R-3m

# 18
A plane-wave DFT calculation with PBE was carried out for an optimized crystal structure of SmCu2Sn3.

Lattice parameters (Å, degrees): 7.048 7.048 6.036 90.00 90.00 103.90
Element x y z (fractional)
1 Sm 0.232 0.768 0.750
2 Sm 0.768 0.232 0.250
3 Cu 0.358 0.358 0.000
4 Cu 0.358 0.358 0.500
5 Cu 0.642 0.642 0.000
6 Cu 0.642 0.642 0.500
7 Sn 0.058 0.267 0.750
8 Sn 0.267 0.058 0.250
9 Sn 0.341 0.659 0.250
10 Sn 0.659 0.341 0.750
11 Sn 0.733 0.942 0.750
12 Sn 0.942 0.733 0.250

Spin magnetization: 0.000 μB/atom
VASP energy: -0.15553 hartree per atom
DOS(E_F): 5.353 states/eV/cell
Formation energy from the elements: -0.08 eV/atom
Symmetry: Cmcm

# 19
A plane-wave DFT calculation with PBE was carried out for an optimized crystal structure of SmCu2Sn2.

Lattice parameters (Å, degrees): 4.430 4.430 10.736 90.00 90.00 90.00
Element x y z (fractional)
1 Sm 0.250 0.250 0.239
2 Sm 0.750 0.750 0.761
3 Cu 0.250 0.250 0.638
4 Cu 0.250 0.750 0.000
5 Cu 0.750 0.250 0.000
6 Cu 0.750 0.750 0.362
7 Sn 0.250 0.250 0.872
8 Sn 0.250 0.750 0.500
9 Sn 0.750 0.250 0.500
10 Sn 0.750 0.750 0.128

Spin magnetization: 0.000 μB/atom
VASP energy: -0.16823 hartree per atom
DOS(E_F): 2.949 states/eV/cell
Formation energy from the elements: -0.39 eV/atom
Symmetry: P4/nmm

# 20
A plane-wave DFT calculation with PBE was carried out for an optimized crystal structure of Sm2Cu3Sn3.

Lattice parameters (Å, degrees): 3.070 3.070 22.140 90.00 90.00 90.00
Element x y z (fractional)
1 Sm 0.000 0.000 0.245
2 Sm 0.000 0.000 0.755
3 Cu 0.000 0.000 0.118
4 Cu 0.000 0.000 0.500
5 Cu 0.000 0.000 0.882
6 Sn 0.000 0.000 0.000
7 Sn 0.000 0.000 0.385
8 Sn 0.000 0.000 0.615

Spin magnetization: 0.000 μB/atom
VASP energy: -0.13443 hartree per atom
DOS(E_F): 6.056 states/eV/cell
Formation energy from the elements: 0.56 eV/atom
Symmetry: P4/mmm